Density functional theory data (PBE) for crystalline Ba2LaAgRu at its relaxed geometry.

Geometry as POSCAR:
```
Ba2LaAgRu
1.0
6.1291 0.0000 0.0000
0.0000 5.8418 0.0000
0.0000 0.0000 6.1291
Ru Ba Ag La
1 2 1 1
Cartesian
3.0645 2.9209 3.0645
0.0000 0.0000 3.0645
3.0645 0.0000 0.0000
0.0000 0.0000 0.0000
0.0000 2.9209 0.0000
```

## Properties
DFT formation energy	4.49	eV per formula unit
magnetization	1.644	μB per cell